1.
Below is crystalline CrTe5 at its relaxed geometry, with properties calculated at the GGA-PBE level.

The density of states at the Fermi level is 0.46 states/eV per atom. The calculation puts the spin magnetization at 3.58 μB per cell. The uncorrected formation energy is 4.7 kJ/mol of atoms.

The structure belongs to space group Cm (No. 8); the cell edges are 12.671, 3.603 and 8.513 Å and the angles 90.00°, 107.71° and 90.00°. Symmetry generates all atoms from Cr at (0.000, 0.000, 0.000), Te at (0.083, 0.000, 0.740), Te at (0.167, 0.500, 0.430), Te at (0.170, 0.500, 0.085), Te at (0.366, 0.000, 0.798) and Te at (0.444, 0.000, 0.201).

=====

2.
Below is crystalline Cr5Te at its relaxed geometry, with properties calculated at the GGA-PBE level.

The density of states at the Fermi level is 0.82 states/eV per atom. The calculation puts the spin magnetization at 0.01 μB per cell. The uncorrected formation energy is 29.9 kJ/mol of atoms. The distance to the lowest polymorph of the same formula is 0 meV/atom.

The structure belongs to space group C2/m (No. 12); the cell edges are 9.204, 3.067 and 5.837 Å and the angles 90.00°, 108.79° and 90.00°. Symmetry generates all atoms from Cr at (0.000, 0.000, 0.000), Cr at (0.171, 0.500, 0.325), Cr at (0.174, 0.500, 0.850) and Te at (0.000, 0.000, 0.500).

=====

3.
Below is crystalline Cr3Te at its relaxed geometry, with properties calculated at the GGA-PBE level.

The density of states at the Fermi level is 0.74 states/eV per atom. The calculation puts the spin magnetization at 4.05 μB per cell. The uncorrected formation energy is 34.4 kJ/mol of atoms. The distance to the lowest polymorph of the same formula is 0 meV/atom.

The structure belongs to space group I4/mmm (No. 139); the cell edges are 3.997, 3.997 and 7.508 Å and the angles 90.00°, 90.00° and 90.00°. Symmetry generates all atoms from Cr at (0.000, 0.000, 0.000), Cr at (0.000, 0.500, 0.250) and Te at (0.000, 0.000, 0.500).

=====

4.
Below is crystalline Cr2Te at its relaxed geometry, with properties calculated at the GGA-PBE level.

The density of states at the Fermi level is 1.16 states/eV per atom. The calculation puts the spin magnetization at 0.00 μB per cell. The uncorrected formation energy is 69.8 kJ/mol of atoms. The distance to the lowest polymorph of the same formula is 636 meV/atom.

The structure belongs to space group P-3m1 (No. 164); the cell edges are 4.1713, 4.1713 and 3.0001 Å and the angles 90.00°, 90.00° and 120.00°. Symmetry generates all atoms from Cr at (0.3333, 0.6667, 0.1691) and Te at (0.0000, 0.0000, 0.5000).

=====

5.
Below is crystalline Cr3Te at its relaxed geometry, with properties calculated at the GGA-PBE level.

The density of states at the Fermi level is 0.64 states/eV per atom. The calculation puts the spin magnetization at 11.00 μB per cell. The uncorrected formation energy is 58.0 kJ/mol of atoms. The distance to the lowest polymorph of the same formula is 245 meV/atom.

The structure belongs to space group R-3m (No. 166, hexagonal axes); the cell edges are 3.0936, 3.0936 and 24.1161 Å and the angles 90.00°, 90.00° and 120.00°. Symmetry generates all atoms from Cr at (0.0000, 0.0000, 0.0000), Cr at (0.0000, 0.0000, 0.2601) and Te at (0.0000, 0.0000, 0.5000).

=====

6.
Below is crystalline Cr3Te5 at its relaxed geometry, with properties calculated at the GGA-PBE level.

The density of states at the Fermi level is 0.58 states/eV per atom. The calculation puts the spin magnetization at 10.98 μB per cell. The uncorrected formation energy is 2.9 kJ/mol of atoms. The distance to the lowest polymorph of the same formula is 0 meV/atom.

The structure belongs to space group P-3m1 (No. 164); the cell edges are 3.9888, 3.9888 and 14.7388 Å and the angles 90.00°, 90.00° and 120.00°. Symmetry generates all atoms from Cr at (0.0000, 0.0000, 0.0000), Cr at (0.0000, 0.0000, 0.2214), Te at (0.0000, 0.0000, 0.5000), Te at (0.3333, 0.6667, 0.3211) and Te at (0.3333, 0.6667, 0.8903).

=====

7.
Below is crystalline Cr2Te at its relaxed geometry, with properties calculated at the GGA-PBE level.

The density of states at the Fermi level is 0.98 states/eV per atom. The calculation puts the spin magnetization at 0.62 μB per cell. The uncorrected formation energy is 26.9 kJ/mol of atoms. The distance to the lowest polymorph of the same formula is 192 meV/atom.

The structure belongs to space group C2/m (No. 12); the cell edges are 12.512, 3.502 and 5.592 Å and the angles 90.00°, 116.44° and 90.00°. Symmetry generates all atoms from Cr at (0.000, 0.000, 0.245), Cr at (0.124, 0.500, 0.124) and Te at (0.163, 0.500, 0.663).

=====

8.
Below is crystalline Cr7Te at its relaxed geometry, with properties calculated at the GGA-PBE level.

The density of states at the Fermi level is 1.84 states/eV per atom. The calculation puts the spin magnetization at 14.89 μB per cell. The uncorrected formation energy is 49.2 kJ/mol of atoms.

The structure belongs to space group Fm-3m (No. 225); the cell edges are 7.465, 7.465 and 7.465 Å and the angles 90.00°, 90.00° and 90.00°. Symmetry generates all atoms from Cr at (0.000, 0.000, 0.000), Cr at (0.000, 0.250, 0.250) and Te at (0.000, 0.000, 0.500).

=====

9.
Below is crystalline Cr3Te at its relaxed geometry, with properties calculated at the GGA-PBE level.

The density of states at the Fermi level is 1.11 states/eV per atom. The calculation puts the spin magnetization at 2.23 μB per cell. The uncorrected formation energy is 48.2 kJ/mol of atoms. The distance to the lowest polymorph of the same formula is 143 meV/atom.

The structure belongs to space group C2/m (No. 12); the cell edges are 8.730, 3.072 and 4.468 Å and the angles 90.00°, 101.51° and 90.00°. Symmetry generates all atoms from Cr at (0.000, 0.000, 0.000), Cr at (0.244, 0.500, 0.193) and Te at (0.000, 0.500, 0.500).

=====

10.
Below is crystalline Cr4Te at its relaxed geometry, with properties calculated at the GGA-PBE level.

The density of states at the Fermi level is 0.77 states/eV per atom. The calculation puts the spin magnetization at 17.87 μB per cell. The uncorrected formation energy is 153.2 kJ/mol of atoms. The distance to the lowest polymorph of the same formula is 178 meV/atom.

The structure belongs to space group Pm-3m (No. 221); the cell edges are 5.162, 5.162 and 5.162 Å and the angles 90.00°, 90.00° and 90.00°. Symmetry generates all atoms from Cr at (0.000, 0.000, 0.000), Cr at (0.000, 0.500, 0.500) and Te at (0.500, 0.500, 0.500).

=====

11.
Below is crystalline Cr3Te4 at its relaxed geometry, with properties calculated at the GGA-PBE level.

The density of states at the Fermi level is 0.29 states/eV per atom. The calculation puts the spin magnetization at 19.78 μB per cell. The uncorrected formation energy is -14.2 kJ/mol of atoms.

The structure belongs to space group C2/m (No. 12); the cell edges are 6.960, 4.016 and 12.462 Å and the angles 90.00°, 90.12° and 90.00°. Symmetry generates all atoms from Cr at (0.000, 0.000, 0.000), Cr at (0.001, 0.000, 0.260), Te at (0.165, 0.500, 0.628) and Te at (0.167, 0.500, 0.128).

=====

12.
Below is crystalline ThCrTe at its relaxed geometry, with properties calculated at the GGA-PBE level.

The density of states at the Fermi level is 0.72 states/eV per atom. The calculation puts the spin magnetization at 0.00 μB per cell. The uncorrected formation energy is -31.6 kJ/mol of atoms.

The structure belongs to space group Cmmm (No. 65); the cell edges are 5.376, 13.864 and 4.069 Å and the angles 90.00°, 90.00° and 90.00°. Symmetry generates all atoms from Th at (0.000, 0.137, 0.000), Cr at (0.194, 0.000, 0.500) and Te at (0.000, 0.345, 0.500).

=====

Q: Which of these has the lowest uncorrected formation energy?
A: ThCrTe